# 1
The following is a GGA-PBEsol calculation of NaFe2Si4O12 after structural relaxation, from the Alexandria database.

As for the symmetry: C2, No. 5. The value obtained for the density of states at the Fermi level is 4.179 states/eV/cell. The total magnetization comes out at 9.01 μB/f.u. Its energy relative to the elements, uncorrected is -2208.4 meV per atom.

a = 6.5078 Å, b = 6.5078 Å, c = 5.3061 Å
α = 103.98°, β = 103.98°, γ = 84.35°
Fractional positions:
Na (0.0000, 0.0000, 0.0000)
Fe (0.6002, 0.3998, 0.0000)
Fe (0.8079, 0.1921, 0.5000)
Si (0.0889, 0.4986, 0.9864)
Si (0.3275, 0.0895, 0.5215)
Si (0.5014, 0.9111, 0.0136)
Si (0.9105, 0.6725, 0.4785)
O (0.0548, 0.6479, 0.7706)
O (0.0603, 0.6549, 0.2680)
O (0.0884, 0.1938, 0.4615)
O (0.3235, 0.3853, 0.0264)
O (0.3451, 0.9397, 0.7320)
O (0.3521, 0.9452, 0.2294)
O (0.5249, 0.2547, 0.6280)
O (0.6147, 0.6765, 0.9736)
O (0.6715, 0.1027, 0.1132)
O (0.7453, 0.4751, 0.3720)
O (0.8062, 0.9116, 0.5385)
O (0.8973, 0.3285, 0.8868)

---

# 2
The following is a GGA-PBEsol calculation of NaFeSi2O6 after structural relaxation, from the Alexandria database.

As for the symmetry: C2/c, No. 15. The total magnetization comes out at 5.00 μB/f.u. Its energy relative to the elements, uncorrected is -2282.4 meV per atom.

a = 6.5631 Å, b = 6.5631 Å, c = 5.3125 Å
α = 102.84°, β = 102.84°, γ = 84.27°
Fractional positions:
Na (0.2027, 0.7973, 0.7500)
Na (0.7973, 0.2027, 0.2500)
Fe (0.3974, 0.6026, 0.2500)
Fe (0.6026, 0.3974, 0.7500)
Si (0.1215, 0.3003, 0.7672)
Si (0.3003, 0.1215, 0.2672)
Si (0.6997, 0.8785, 0.7328)
Si (0.8785, 0.6997, 0.2328)
O (0.1155, 0.6012, 0.2966)
O (0.1417, 0.1533, 0.9869)
O (0.1533, 0.1417, 0.4869)
O (0.3073, 0.4661, 0.8622)
O (0.3988, 0.8845, 0.2034)
O (0.4661, 0.3073, 0.3622)
O (0.5339, 0.6927, 0.6378)
O (0.6012, 0.1155, 0.7966)
O (0.6927, 0.5339, 0.1378)
O (0.8467, 0.8583, 0.5131)
O (0.8583, 0.8467, 0.0131)
O (0.8845, 0.3988, 0.7034)

---

# 3
The following is a GGA-PBEsol calculation of Na2FeOs after structural relaxation, from the Alexandria database.

As for the symmetry: Fm-3m, No. 225. The value obtained for the density of states at the Fermi level is 3.801 states/eV/cell. The total magnetization comes out at 4.73 μB/f.u. Its formation enthalpy at 0 K is 6.74 eV per formula unit.

a = 4.5881 Å, b = 4.5881 Å, c = 4.5881 Å
α = 60.00°, β = 60.00°, γ = 60.00°
Fractional positions:
Na (0.2500, 0.2500, 0.2500)
Na (0.7500, 0.7500, 0.7500)
Fe (0.0000, 0.0000, 0.0000)
Os (0.5000, 0.5000, 0.5000)

---

# 4
The following is a GGA-PBEsol calculation of NaFeOs3 after structural relaxation, from the Alexandria database.

As for the symmetry: Pm-3m, No. 221. The value obtained for the density of states at the Fermi level is 7.434 states/eV/cell. The total magnetization comes out at 1.65 μB/f.u. Its formation enthalpy at 0 K is 16.44 eV per formula unit.

a = 4.3356 Å, b = 4.3356 Å, c = 4.3356 Å
α = 90.00°, β = 90.00°, γ = 90.00°
Fractional positions:
Na (0.0000, 0.0000, 0.0000)
Fe (0.5000, 0.5000, 0.5000)
Os (0.0000, 0.0000, 0.5000)
Os (0.0000, 0.5000, 0.0000)
Os (0.5000, 0.0000, 0.0000)

---

# 5
The following is a GGA-PBEsol calculation of Na2FeOsSe after structural relaxation, from the Alexandria database.

As for the symmetry: P4/mmm, No. 123. The value obtained for the density of states at the Fermi level is 5.621 states/eV/cell. The total magnetization comes out at 5.99 μB/f.u. Its energy relative to the elements, uncorrected is 1289.8 meV per atom.

a = 5.1253 Å, b = 5.1253 Å, c = 4.4674 Å
α = 90.00°, β = 90.00°, γ = 90.00°
Fractional positions:
Na (0.0000, 0.5000, 0.0000)
Na (0.5000, 0.0000, 0.0000)
Fe (0.0000, 0.0000, 0.5000)
Os (0.5000, 0.5000, 0.5000)
Se (0.0000, 0.0000, 0.0000)

---

# 6
The following is a GGA-PBEsol calculation of Na2FeSiP after structural relaxation, from the Alexandria database.

As for the symmetry: P4/mmm, No. 123. The value obtained for the density of states at the Fermi level is 9.304 states/eV/cell. The total magnetization comes out at 3.73 μB/f.u. Its energy relative to the elements, uncorrected is 1041.2 meV per atom.

a = 5.5196 Å, b = 5.5196 Å, c = 4.3949 Å
α = 90.00°, β = 90.00°, γ = 90.00°
Fractional positions:
Na (0.0000, 0.5000, 0.0000)
Na (0.5000, 0.0000, 0.0000)
Fe (0.0000, 0.0000, 0.5000)
Si (0.5000, 0.5000, 0.0000)
P (0.5000, 0.5000, 0.5000)

---

Quick rundown of E_tot, same order as above: -7.75 -7.62 -4.31 -6.11 -4.28 -3.62 eV/atom